First-principles (SCAN) data for a PBEsol-optimized structure of TlRhIN2, as listed in Alexandria via LeMat-Bulk.

Geometry as POSCAR:
```
TlRhIN2
1.0
4.051 0.000 0.000
0.000 4.051 0.000
0.000 0.000 5.540
Rh I Tl N
1 1 1 2
direct
0.000 0.000 0.000
0.000 0.000 0.500
0.500 0.500 0.500
0.000 0.500 0.000
0.500 0.000 0.000
```

Space group: No. 123
E_form (uncorrected) in eV per formula unit: 5.6
VASP energy in eV/atom: -31.179

First-principles (SCAN) data for a PBEsol-optimized structure of RuI2N2, as listed in Alexandria via LeMat-Bulk.

Geometry as POSCAR:
```
RuI2N2
1.0
-0.107 -1.666 3.226
2.662 -4.283 -2.123
4.778 2.302 1.347
I N Ru
2 2 1
direct
0.000 0.000 0.500
0.000 0.500 0.000
0.500 0.500 0.500
0.500 0.000 0.000
0.000 0.000 0.000
```

Space group: No. 123
E_form (uncorrected) in eV per formula unit: 6.3
VASP energy in eV/atom: -24.122

First-principles (SCAN) data for a PBEsol-optimized structure of TcRuIN2, as listed in Alexandria via LeMat-Bulk.

Geometry as POSCAR:
```
TcRuIN2
1.0
-0.705 -0.080 3.722
-0.235 -3.780 -0.125
5.646 -0.386 1.061
N Tc I Ru
2 1 1 1
direct
0.000 0.500 0.000
0.500 0.000 0.000
0.500 0.500 0.500
0.000 0.000 0.500
0.000 0.000 0.000
```

Space group: No. 123
E_form (uncorrected) in eV per formula unit: 7.1
VASP energy in eV/atom: -23.618